! VAuO2 | Alexandria via LeMat-Bulk | PBE with a Hubbard U | relaxed; values from VASP
&SYSTEM
  ibrav = 0, nat = 4, ntyp = 3
/
ATOMIC_SPECIES
V 50.94 V.upf
Au 196.97 Au.upf
O 16.00 O.upf
ATOMIC_POSITIONS crystal
V 0.000 0.000 0.000
Au 0.667 0.333 0.500
O 0.667 0.333 0.171
O 0.667 0.333 0.829
CELL_PARAMETERS angstrom
2.868 0.000 0.000
-1.434 2.484 0.000
0.000 0.000 6.780
! VASP energy, eV per atom: -6.2420
! DOS at the Fermi energy, states/eV per atom: 0.1460
! Space group: P-6m2
! M_tot, μB per cell: 0.21